No. 1
Y7Zn2Sn2: relaxed, PBE.

**V**: 324.7 Å³/f.u.
**Formation enthalpy at 0 K**: -0.17 eV per atom
**Density**: 5.07 g/cm³

Cell: 6.8803 7.2547 6.8803 Å, 90.00 109.02 90.00°
Atoms (fractional coordinates):
1 Y 0.0000 0.2721 0.5000
2 Y 0.5000 0.7279 0.0000
3 Y 0.0000 0.7279 0.5000
4 Y 0.5000 0.2721 0.0000
5 Y 0.0000 0.0000 0.0000
6 Y 0.5000 0.7603 0.5000
7 Y 0.5000 0.2397 0.5000
8 Zn 0.7129 0.0000 0.2871
9 Zn 0.2871 0.0000 0.7129
10 Sn 0.8180 0.5000 0.8180
11 Sn 0.1820 0.5000 0.1820



No. 2
Pm4Cu5Pd2: relaxed, PBE.

**V**: 231.7 Å³/f.u.
**Formation enthalpy at 0 K**: -0.31 eV per atom
**Density**: 7.96 g/cm³

Cell: 4.0175 7.0401 8.2007 Å, 92.42 90.00 90.00°
Atoms (fractional coordinates):
1 Pm 0.5000 0.7456 0.5834
2 Pm 0.5000 0.2151 0.8804
3 Pm 0.5000 0.2544 0.4166
4 Pm 0.5000 0.7849 0.1196
5 Cu 0.0000 0.5461 0.3184
6 Cu 0.0000 0.1964 0.1466
7 Cu 0.0000 0.5000 0.0000
8 Cu 0.0000 0.8036 0.8534
9 Cu 0.0000 0.4539 0.6816
10 Pd 0.0000 0.0785 0.6538
11 Pd 0.0000 0.9215 0.3462



No. 3
TmBIr: relaxed, PBE.

**V**: 45.8 Å³/f.u.
**Formation enthalpy at 0 K**: -0.69 eV per atom
**Density**: 13.50 g/cm³

Cell: 3.2666 5.0670 6.0687 Å, 108.16 105.61 90.00°
Atoms (fractional coordinates):
1 Tm 0.8800 0.7046 0.7599
2 Tm 0.1200 0.2954 0.2401
3 B 0.2318 0.8763 0.4637
4 B 0.7682 0.1237 0.5363
5 Ir 0.6054 0.7605 0.2108
6 Ir 0.3946 0.2395 0.7892



No. 4
Rb2TiCu2: relaxed, PBE.

**V**: 143.8 Å³/f.u.
**Formation enthalpy at 0 K**: 1.09 eV per atom
**Density**: 3.99 g/cm³

Cell: 4.4505 4.4505 7.9146 Å, 73.67 73.67 90.00°
Atoms (fractional coordinates):
1 Cu 0.4223 0.4223 0.1553
2 Cu 0.5777 0.5777 0.8447
3 Rb 0.7500 0.2500 0.5000
4 Rb 0.2500 0.7500 0.5000
5 Ti 0.0000 0.0000 0.0000



No. 5
PrSmAs2: relaxed, PBE.

**V**: 109.4 Å³/f.u.
**Formation enthalpy at 0 K**: -1.51 eV per atom
**Density**: 6.69 g/cm³

Cell: 6.0257 6.0257 7.3819 Å, 114.09 114.09 90.00°
Atoms (fractional coordinates):
1 Pr 0.7500 0.2500 0.5000
2 Pr 0.0000 0.0000 0.0000
3 Sm 0.5000 0.5000 0.0000
4 Sm 0.2500 0.7500 0.5000
5 As 0.7478 0.7478 0.4956
6 As 0.4978 0.9978 0.9956
7 As 0.2522 0.2522 0.5044
8 As 0.0022 0.5022 0.0044



No. 6
Ho3Ni2Ge4: relaxed, PBE.

**V**: 174.3 Å³/f.u.
**Formation enthalpy at 0 K**: -0.76 eV per atom
**Density**: 8.60 g/cm³

Cell: 4.1441 5.7119 8.0906 Å, 101.53 90.00 111.27°
Atoms (fractional coordinates):
1 Ho 0.6613 0.3227 0.6602
2 Ho 0.0000 0.0000 0.0000
3 Ho 0.3387 0.6773 0.3398
4 Ni 0.6058 0.2116 0.2820
5 Ni 0.3942 0.7884 0.7180
6 Ge 0.7192 0.4384 0.0716
7 Ge 0.2808 0.5616 0.9284
8 Ge 0.9389 0.8778 0.6189
9 Ge 0.0611 0.1222 0.3811



No. 7
Mg4In15Bi: relaxed, PBE.

**V**: 516.0 Å³/f.u.
**Formation enthalpy at 0 K**: -0.02 eV per atom
**Density**: 6.53 g/cm³

Cell: 4.7261 4.7261 23.1025 Å, 90.00 90.00 90.00°
Atoms (fractional coordinates):
1 Mg 0.0000 0.0000 0.2073
2 Mg 0.0000 0.0000 0.4015
3 Mg 0.0000 0.0000 0.5985
4 Mg 0.0000 0.0000 0.7927
5 In 0.5000 0.5000 0.0000
6 In 0.5000 0.5000 0.2070
7 In 0.5000 0.5000 0.4029
8 In 0.5000 0.5000 0.5971
9 In 0.5000 0.5000 0.7930
10 In 0.5000 0.0000 0.1074
11 In 0.5000 0.0000 0.3042
12 In 0.5000 0.0000 0.5000
13 In 0.5000 0.0000 0.6958
14 In 0.5000 0.0000 0.8926
15 In 0.0000 0.5000 0.1074
16 In 0.0000 0.5000 0.3042
17 In 0.0000 0.5000 0.5000
18 In 0.0000 0.5000 0.6958
19 In 0.0000 0.5000 0.8926
20 Bi 0.0000 0.0000 0.0000



No. 8
TbTh8: relaxed, PBE.

**V**: 288.7 Å³/f.u.
**Formation enthalpy at 0 K**: 0.03 eV per atom
**Density**: 11.59 g/cm³

Cell: 5.0385 7.9774 7.9774 Å, 84.28 71.59 71.59°
Atoms (fractional coordinates):
1 Tb 0.0000 0.0000 0.0000
2 Th 0.6673 0.0000 0.6654
3 Th 0.3327 0.0000 0.3346
4 Th 0.0000 0.3329 0.6671
5 Th 0.3327 0.3346 0.0000
6 Th 0.6671 0.3329 0.3329
7 Th 0.6673 0.6654 0.0000
8 Th 0.0000 0.6671 0.3329
9 Th 0.3329 0.6671 0.6671



No. 9
MnIn2: relaxed, PBE.

**V**: 63.8 Å³/f.u.
**Formation enthalpy at 0 K**: 0.28 eV per atom
**Density**: 7.41 g/cm³

Cell: 7.8910 7.8910 5.1175 Å, 90.00 90.00 156.39°
Atoms (fractional coordinates):
1 Mn 0.2810 0.7190 0.7500
2 Mn 0.7190 0.2810 0.2500
3 In 0.6318 0.3682 0.7500
4 In 0.9395 0.0605 0.7500
5 In 0.0605 0.9395 0.2500
6 In 0.3682 0.6318 0.2500



No. 10
Sm3Pa2Ru4: relaxed, PBE.

**V**: 210.8 Å³/f.u.
**Formation enthalpy at 0 K**: -0.47 eV per atom
**Density**: 10.38 g/cm³

Cell: 4.2714 5.9700 9.0104 Å, 100.07 90.00 110.96°
Atoms (fractional coordinates):
1 Sm 0.3772 0.7544 0.6143
2 Sm 0.0000 0.0000 0.0000
3 Sm 0.6228 0.2456 0.3857
4 Pa 0.3229 0.6459 0.2189
5 Pa 0.6771 0.3541 0.7811
6 Ru 0.7173 0.4345 0.0945
7 Ru 0.0907 0.1813 0.6391
8 Ru 0.9093 0.8187 0.3609
9 Ru 0.2828 0.5655 0.9055